1.
Here is CdFeF2 after structural relaxation from Alexandria via LeMat-Bulk. Energies are from PBE with a Hubbard U.

Computed properties:
Relative energy among the computed polymorphs = 73 meV per atom
M_tot = 3.793 μB/f.u.

Cell lengths 8.3078, 8.3078, 8.3078 Å; angles 21.54, 21.54, 21.54 degrees
Closest atoms and distances in Å follow each position.
Fractional coordinates of all 4 atoms:
Cd1 0.0000 0.0000 0.0000  2 F 2.93, 6 Cd 3.11
F1 0.8797 0.8797 0.8797  3 Fe 2.12
F2 0.1203 0.1203 0.1203  3 Fe 2.12
Fe1 0.5000 0.5000 0.5000  6 F 2.12


2.
Here is KCd2FeF8 after structural relaxation from Alexandria via LeMat-Bulk. Energies are from PBE with a Hubbard U.

Computed properties:
M_tot = 5.017 μB/f.u.

Cell lengths 5.0997, 5.1411, 7.2081 Å; angles 89.99, 89.99, 88.85 degrees
Closest atoms and distances in Å follow each position.
Fractional coordinates of all 12 atoms:
F1 0.6243 0.7132 0.5000  2 Cd 2.24, 1 K 2.44
F2 0.2932 0.2651 0.0000  1 Fe 2.04
Fe1 0.0000 0.0000 0.0000  6 F 1.94-2.04
K1 0.0000 0.0000 0.5000  6 F 2.44-2.61
F3 0.8252 0.2051 0.8082  1 Fe 1.94
Cd1 0.5000 0.5000 0.7552  6 F 2.24-2.39
F4 0.1748 0.7949 0.1918  1 Fe 1.94
F5 0.3757 0.2868 0.5000  2 Cd 2.24, 1 K 2.44
F6 0.1750 0.7950 0.8082  1 Fe 1.94
Cd2 0.5000 0.5000 0.2448  6 F 2.24-2.39
F7 0.7068 0.7349 0.0000  1 Fe 2.04
F8 0.8250 0.2050 0.1918  1 Fe 1.94


3.
Here is K3CdFe2F9 after structural relaxation from Alexandria via LeMat-Bulk. Energies are from PBE with a Hubbard U.

Computed properties:
M_tot = 8.000 μB/f.u.

Cell lengths 6.0205, 6.0205, 7.4316 Å; angles 90.00, 90.00, 120.00 degrees
Closest atoms and distances in Å follow each position.
Fractional coordinates of all 15 atoms:
F1 0.0000 0.5000 0.0000  2 Fe 2.09
K1 0.0000 0.0000 0.0000  12 F 3.00-3.01
F2 0.6542 0.8271 0.3227  1 Fe 2.09, 1 Cd 2.23
F3 0.8271 0.1729 0.6773  1 Fe 2.09, 1 Cd 2.23
F4 0.8271 0.6542 0.6773  1 Fe 2.09, 1 Cd 2.23
K2 0.3333 0.6667 0.6670  12 F 3.01-3.06
Cd1 0.0000 0.0000 0.5000  6 F 2.23
Fe1 0.3333 0.6667 0.1551  6 F 2.09
K3 0.6667 0.3333 0.3330  12 F 3.01-3.06
F5 0.1729 0.8271 0.3227  1 Fe 2.09, 1 Cd 2.23
F6 0.1729 0.3458 0.3227  1 Fe 2.09, 1 Cd 2.23
Fe2 0.6667 0.3333 0.8449  6 F 2.09
F7 0.5000 0.5000 0.0000  2 Fe 2.09
F8 0.5000 0.0000 0.0000  2 Fe 2.09
F9 0.3458 0.1729 0.6773  1 Fe 2.09, 1 Cd 2.23


4.
Here is K2CdFeF6 after structural relaxation from Alexandria via LeMat-Bulk. Energies are from PBE with a Hubbard U.

Computed properties:
M_tot = 4.000 μB/f.u.

Cell lengths 6.1422, 6.1452, 8.5666 Å; angles 90.00, 90.00, 90.00 degrees
Closest atoms and distances in Å follow each position.
Fractional coordinates of all 20 atoms:
K1 0.5000 0.7503 0.2499  12 F 3.05-3.08
K2 0.5000 0.7503 0.7501  12 F 3.05-3.08
Cd1 0.0000 0.7496 0.5000  6 F 2.23-2.25
F1 0.2568 0.0062 0.5000  1 Fe 2.11, 1 Cd 2.23
Cd2 0.5000 0.2504 0.0000  6 F 2.23-2.25
K3 0.0000 0.2497 0.7499  12 F 3.05-3.08
F2 0.0000 0.7504 0.7630  1 Fe 2.03, 1 Cd 2.25
F3 0.7435 0.4927 0.5000  1 Fe 2.11, 1 Cd 2.23
Fe1 0.5000 0.2496 0.5000  6 F 2.03-2.11
F4 0.5000 0.2496 0.2630  1 Fe 2.03, 1 Cd 2.25
Fe2 0.0000 0.7504 0.0000  6 F 2.03-2.11
F5 0.0000 0.7504 0.2370  1 Fe 2.03, 1 Cd 2.25
F6 0.5000 0.2496 0.7370  1 Fe 2.03, 1 Cd 2.25
K4 0.0000 0.2497 0.2501  12 F 3.05-3.08
F7 0.7432 0.0062 0.5000  1 Fe 2.11, 1 Cd 2.23
F8 0.7568 0.9938 0.0000  1 Fe 2.11, 1 Cd 2.23
F9 0.2565 0.4927 0.5000  1 Fe 2.11, 1 Cd 2.23
F10 0.7565 0.5073 0.0000  1 Fe 2.11, 1 Cd 2.23
F11 0.2435 0.5073 0.0000  1 Fe 2.11, 1 Cd 2.23
F12 0.2432 0.9938 0.0000  1 Fe 2.11, 1 Cd 2.23


5.
Here is LiCdFeF6 after structural relaxation from Alexandria via LeMat-Bulk. Energies are from PBE with a Hubbard U.

Computed properties:
Relative energy among the computed polymorphs = 250 meV per atom
M_tot = 1.000 μB/f.u.

Cell lengths 4.8143, 5.1519, 5.1519 Å; angles 120.00, 90.00, 90.00 degrees
Closest atoms and distances in Å follow each position.
Fractional coordinates of all 9 atoms:
Li1 0.5000 0.0000 0.0000  6 F 2.03
F1 0.7203 0.3520 0.0327  1 Fe 1.91, 1 Li 2.03
F2 0.7203 0.6808 0.6480  1 Fe 1.91, 1 Li 2.03
F3 0.2797 0.6808 0.0327  1 Fe 1.91, 1 Li 2.03
Cd1 0.0000 0.3333 0.6667  6 F 2.28
F4 0.7203 0.9673 0.3192  1 Fe 1.91, 1 Li 2.03
F5 0.2797 0.9673 0.6480  1 Fe 1.91, 1 Li 2.03
F6 0.2797 0.3520 0.3192  1 Fe 1.91, 1 Li 2.03
Fe1 0.5000 0.6667 0.3333  6 F 1.91


6.
Here is LiCdFeF6 after structural relaxation from Alexandria via LeMat-Bulk. Energies are from PBE with a Hubbard U.

Computed properties:
Relative energy among the computed polymorphs = 0 meV per atom
M_tot = 4.999 μB/f.u.

Cell lengths 5.2121, 5.2121, 9.7132 Å; angles 90.00, 90.00, 120.00 degrees
Closest atoms and distances in Å follow each position.
Fractional coordinates of all 18 atoms:
F1 0.9866 0.6391 0.6383  1 Fe 1.96, 1 Li 2.05
Cd1 0.0000 0.0000 0.0000  6 F 2.28
F2 0.0134 0.3609 0.3617  1 Fe 1.96, 1 Li 2.05
F3 0.3475 0.3609 0.1383  1 Fe 1.96, 1 Li 2.05
Fe1 0.3333 0.6667 0.2500  6 F 1.96
F4 0.9866 0.3475 0.8617  1 Fe 1.96, 1 Li 2.05
F5 0.0134 0.6525 0.1383  1 Fe 1.96, 1 Li 2.05
F6 0.3609 0.3475 0.6383  1 Fe 1.96, 1 Li 2.05
Li1 0.6667 0.3333 0.2500  6 F 2.05
F7 0.3609 0.0134 0.8617  1 Fe 1.96, 1 Li 2.05
F8 0.3475 0.9866 0.3617  1 Fe 1.96, 1 Li 2.05
F9 0.6391 0.6525 0.3617  1 Fe 1.96, 1 Li 2.05
F10 0.6391 0.9866 0.1383  1 Fe 1.96, 1 Li 2.05
Fe2 0.6667 0.3333 0.7500  6 F 1.96
F11 0.6525 0.0134 0.6383  1 Fe 1.96, 1 Li 2.05
F12 0.6525 0.6391 0.8617  1 Fe 1.96, 1 Li 2.05
Li2 0.3333 0.6667 0.7500  6 F 2.05
Cd2 0.0000 0.0000 0.5000  6 F 2.28


7.
Here is CdFeN2F after structural relaxation from Alexandria via LeMat-Bulk. Energies are from PBE with a Hubbard U.

Computed properties:
Relative energy among the computed polymorphs = 999 meV per atom
M_tot = 5.786 μB/f.u.

Cell lengths 4.1863, 4.1863, 4.3424 Å; angles 90.00, 90.00, 90.00 degrees
Closest atoms and distances in Å follow each position.
Fractional coordinates of all 5 atoms:
F1 0.0000 0.0000 0.5000  2 Cd 2.17
Fe1 0.5000 0.5000 0.5000  4 F 2.96, 8 N 3.02
Cd1 0.0000 0.0000 0.0000  4 N 2.09, 2 F 2.17
N1 0.0000 0.5000 0.0000  2 Cd 2.09
N2 0.5000 0.0000 0.0000  2 Cd 2.09


8.
Here is CdFeNF2 after structural relaxation from Alexandria via LeMat-Bulk. Energies are from PBE with a Hubbard U.

Computed properties:
Relative energy among the computed polymorphs = 0 meV per atom
M_tot = 5.005 μB/f.u.

Cell lengths 3.9423, 3.9423, 4.1622 Å; angles 90.00, 90.00, 90.00 degrees
Closest atoms and distances in Å follow each position.
Fractional coordinates of all 5 atoms:
Fe1 0.0000 0.0000 0.0000  4 F 1.97, 2 N 2.08
Cd1 0.5000 0.5000 0.5000  4 N 2.79, 8 F 2.87
F1 0.0000 0.5000 0.0000  2 Fe 1.97
F2 0.5000 0.0000 0.0000  2 Fe 1.97
N1 0.0000 0.0000 0.5000  2 Fe 2.08


9.
Here is CdFeN2F after structural relaxation from Alexandria via LeMat-Bulk. Energies are from PBE with a Hubbard U.

Computed properties:
Relative energy among the computed polymorphs = 0 meV per atom
M_tot = 3.520 μB/f.u.

Cell lengths 3.8370, 3.8370, 4.0950 Å; angles 90.00, 90.00, 90.00 degrees
Closest atoms and distances in Å follow each position.
Fractional coordinates of all 5 atoms:
F1 0.0000 0.0000 0.5000  2 Fe 2.05
N1 0.0000 0.5000 0.0000  2 Fe 1.92
Fe1 0.0000 0.0000 0.0000  4 N 1.92, 2 F 2.05
Cd1 0.5000 0.5000 0.5000  4 F 2.71, 8 N 2.81
N2 0.5000 0.0000 0.0000  2 Fe 1.92


10.
Here is CdFeNF2 after structural relaxation from Alexandria via LeMat-Bulk. Energies are from PBE with a Hubbard U.

Computed properties:
Relative energy among the computed polymorphs = 745 meV per atom
M_tot = 4.787 μB/f.u.

Cell lengths 4.2781, 4.2781, 4.4140 Å; angles 90.00, 90.00, 90.00 degrees
Closest atoms and distances in Å follow each position.
Fractional coordinates of all 5 atoms:
Cd1 0.0000 0.0000 0.0000  4 F 2.14, 2 N 2.21
F1 0.0000 0.5000 0.0000  2 Cd 2.14
F2 0.5000 0.0000 0.0000  2 Cd 2.14
N1 0.0000 0.0000 0.5000  2 Cd 2.21
Fe1 0.5000 0.5000 0.5000  4 N 3.03, 8 F 3.07


no.,E (eV/atom)
1,-4.0575
2,-4.3422
3,-4.5883
4,-4.5380
5,-4.4500
6,-4.7001
7,-3.7236
8,-4.5374
9,-4.7230
10,-3.7922